# 1
Material: DyZn2Ag
Method: DFT, PBE
State: optimized geometry

Computed properties:
E_tot ... -2.826 eV/atom
DFT formation energy ... -1.30 eV per formula unit
Calculated volume ... 308 Å³/cell
Total magnetization ... 0.0 μB/f.u.

Unit cell a=6.970 b=4.342 c=10.173 alpha=90.00 beta=90.00 gamma=90.00
Space group Pnma (No. 62)
Symmetry-distinct sites (fractional):
Dy 0.220 0.250 0.173 [4 per cell]
Zn 0.081 0.250 0.853 [4 per cell]
Zn 0.195 0.750 0.963 [4 per cell]
Ag 0.036 0.750 0.402 [4 per cell]

***

# 2
Material: DyZn12Ag4
Method: DFT, PBE
State: optimized geometry

Computed properties:
E_tot ... -1.635 eV/atom
DFT formation energy ... 3.50 eV per formula unit
Calculated volume ... 692 Å³/cell
Total magnetization ... 0.0 μB/f.u.

Unit cell a=8.846 b=8.846 c=8.846 alpha=90.00 beta=90.00 gamma=90.00
Space group Im-3 (No. 204)
Symmetry-distinct sites (fractional):
Dy 0.000 0.000 0.000 [2 per cell]
Zn 0.000 0.146 0.357 [24 per cell]
Ag 0.250 0.250 0.250 [8 per cell]

***

# 3
Material: Dy6ZnAg3
Method: DFT, PBE
State: optimized geometry

Computed properties:
E_tot ... -3.943 eV/atom
DFT formation energy ... -1.99 eV per formula unit
Calculated volume ... 510 Å³/cell
Total magnetization ... 0.0 μB/f.u.

Unit cell a=8.999 b=5.066 c=11.627 alpha=90.00 beta=105.94 gamma=90.00
Space group P2_1/m (No. 11)
Symmetry-distinct sites (fractional):
Dy 0.005 0.250 0.111 [2 per cell]
Dy 0.162 0.250 0.700 [2 per cell]
Dy 0.241 0.750 0.515 [2 per cell]
Dy 0.359 0.750 0.119 [2 per cell]
Dy 0.365 0.250 0.346 [2 per cell]
Dy 0.385 0.750 0.843 [2 per cell]
Zn 0.448 0.250 0.623 [2 per cell]
Ag 0.037 0.250 0.380 [2 per cell]
Ag 0.140 0.750 0.253 [2 per cell]
Ag 0.276 0.250 0.971 [2 per cell]

***

# 4
Material: Dy2Zn6Ag9
Method: DFT, PBE
State: optimized geometry

Computed properties:
E_tot ... -2.544 eV/atom
DFT formation energy ... -0.74 eV per formula unit
Calculated volume ... 352 Å³/cell
Total magnetization ... 0.0 μB/f.u.

Unit cell a=5.5653 b=5.5653 c=13.1152 alpha=90.00 beta=90.00 gamma=120.00
Space group P6/mmm (No. 191)
Symmetry-distinct sites (fractional):
Dy 0.0000 0.0000 0.1667 [2 per cell]
Zn 0.3333 0.6667 0.1659 [4 per cell]
Zn 0.3333 0.6667 0.5000 [2 per cell]
Ag 0.0000 0.5000 0.0000 [3 per cell]
Ag 0.0000 0.5000 0.3323 [6 per cell]

***

- calculated volume of number 1 (DyZn2Ag)?
  308 Å³/cell

***

- Which formula does entry 3 have?
  Dy6ZnAg3

***

Copy entry 2 word for word.
Material: DyZn12Ag4
Method: DFT, PBE
State: optimized geometry

Computed properties:
E_tot ... -1.635 eV/atom
DFT formation energy ... 3.50 eV per formula unit
Calculated volume ... 692 Å³/cell
Total magnetization ... 0.0 μB/f.u.

Unit cell a=8.846 b=8.846 c=8.846 alpha=90.00 beta=90.00 gamma=90.00
Space group Im-3 (No. 204)
Symmetry-distinct sites (fractional):
Dy 0.000 0.000 0.000 [2 per cell]
Zn 0.000 0.146 0.357 [24 per cell]
Ag 0.250 0.250 0.250 [8 per cell]

***

- The highest calculated volume belongs to which entry?
  DyZn12Ag4